Record 1
! Li3Ac2NiF12 | Alexandria via LeMat-Bulk | PBE with a Hubbard U | optimized geometry; values from VASP
&SYSTEM
  ibrav = 0, nat = 18, ntyp = 4
/
ATOMIC_SPECIES
Li 6.94 Li.upf
Ac 227.00 Ac.upf
Ni 58.69 Ni.upf
F 19.00 F.upf
CELL_PARAMETERS angstrom
6.8991 -0.2025 -0.1436
3.2311 6.0991 -0.1436
3.2311 1.8808 5.8037
ATOMIC_POSITIONS crystal
Li 0.5000 0.0000 0.0000
Li 0.0000 0.5000 0.0000
Li 0.0000 0.0000 0.5000
Ac 0.6575 0.6575 0.6575
Ac 0.3425 0.3425 0.3425
Ni 0.0000 0.0000 0.0000
F 0.4047 0.4047 0.9177
F 0.9380 0.9380 0.3095
F 0.3095 0.9380 0.9380
F 0.9177 0.4047 0.4047
F 0.9380 0.3095 0.9380
F 0.4047 0.9177 0.4047
F 0.5953 0.5953 0.0823
F 0.0620 0.0620 0.6905
F 0.6905 0.0620 0.0620
F 0.0823 0.5953 0.5953
F 0.0620 0.6905 0.0620
F 0.5953 0.0823 0.5953
! Electronic total energy ... -93.2 eV for the cell shown
! Fermi-level density of states ... 6.22 states/eV per cell
! Calculated density ... 5.02 Mg/m³
! Spin magnetization ... 1.00 μB/f.u.

Record 2
! Li2AcNiF8 | Alexandria via LeMat-Bulk | PBE with a Hubbard U | optimized geometry; values from VASP
&SYSTEM
  ibrav = 0, nat = 12, ntyp = 4
/
ATOMIC_SPECIES
Li 6.94 Li.upf
Ac 227.00 Ac.upf
Ni 58.69 Ni.upf
F 19.00 F.upf
CELL_PARAMETERS angstrom
-4.7200 -0.1291 -1.3513
1.6692 -3.1332 3.3938
-1.5535 4.5765 4.9892
ATOMIC_POSITIONS crystal
Li 0.6667 0.3333 0.3094
Li 0.3333 0.6667 0.6906
Ac 0.0000 0.0000 0.0000
Ni 0.0000 0.0000 0.5000
F 0.3333 0.6667 0.9664
F 0.2806 0.3116 0.3251
F 0.6884 0.9690 0.3251
F 0.6667 0.3333 0.0336
F 0.3116 0.0310 0.6749
F 0.7194 0.6884 0.6749
F 0.9690 0.2806 0.6749
F 0.0310 0.7194 0.3251
! Electronic total energy ... -59.6 eV for the cell shown
! Fermi-level density of states ... 6.44 states/eV per cell
! Calculated density ... 5.17 Mg/m³
! Spin magnetization ... 1.00 μB/f.u.